Record 1
Density functional theory data (GGA-PBE) for AlReTe2 after structural relaxation.

Structure (POSCAR):
```
AlReTe2
1.0
-1.593 2.301 6.113
1.593 -2.301 6.113
1.593 2.301 -6.113
Al Re Te
1 1 2
Cartesian
0.000 0.000 0.000
1.593 0.000 2.268
0.000 0.000 4.504
0.000 2.301 1.805
```

Record 2
Density functional theory data (GGA-PBE) for AlReTe2 after structural relaxation.

Structure (POSCAR):
```
AlReTe2
1.0
-3.124 3.124 5.886
3.124 -3.124 5.886
3.124 3.124 -5.886
Al Re Te
2 2 4
Cartesian
0.000 0.000 0.000
0.000 3.124 2.943
3.124 0.000 2.943
0.000 0.000 5.886
1.562 -1.449 4.414
1.675 1.562 1.471
1.562 4.573 -1.471
1.449 1.562 7.357
```

Record 3
Density functional theory data (GGA-PBE) for AlReTe2 after structural relaxation.

Structure (POSCAR):
```
AlReTe2
1.0
3.565 0.000 0.000
0.000 4.379 0.000
0.000 0.000 5.351
Al Re Te
1 1 2
Cartesian
0.000 0.000 0.000
1.783 0.000 2.676
0.000 2.190 2.676
1.783 2.190 0.000
```

Record 4
Density functional theory data (GGA-PBE) for Al2ReTe after structural relaxation.

Structure (POSCAR):
```
Al2ReTe
1.0
-3.079 3.079 5.858
3.079 -3.079 5.858
3.079 3.079 -5.858
Al Re Te
4 2 2
Cartesian
4.619 1.316 -1.464
1.316 1.540 1.464
-1.540 1.763 4.393
1.763 1.540 7.322
0.000 0.000 0.000
0.000 3.079 2.929
3.079 0.000 2.929
0.000 0.000 5.858
```

Record 5
Density functional theory data (GGA-PBE) for AlReTe2 after structural relaxation.

Structure (POSCAR):
```
AlReTe2
1.0
4.311 -1.663 0.000
4.311 1.663 0.000
-1.354 0.000 6.995
Al Re Te
1 1 2
Cartesian
0.000 0.000 0.000
1.072 0.000 6.267
3.773 0.000 4.723
6.269 0.000 1.427
```

Record 6
Density functional theory data (GGA-PBE) for Al2ReTe after structural relaxation.

Structure (POSCAR):
```
Al2ReTe
1.0
1.527 0.882 9.265
-1.527 0.882 9.265
0.000 -1.764 9.265
Al Re Te
2 1 1
Cartesian
0.000 0.000 6.535
0.000 0.000 21.262
0.000 0.000 13.898
0.000 0.000 0.000
```

Record 7
Density functional theory data (GGA-PBE) for AlReTe2 after structural relaxation.

Structure (POSCAR):
```
AlReTe2
1.0
2.463 -5.668 0.000
2.463 5.668 0.000
0.000 0.000 4.008
Al Re Te
1 1 2
Cartesian
0.000 0.000 0.000
2.463 0.000 0.000
2.463 1.762 2.004
2.463 -1.762 2.004
```

Record 8
Density functional theory data (GGA-PBE) for Al2ReTe after structural relaxation.

Structure (POSCAR):
```
Al2ReTe
1.0
4.534 0.000 0.000
0.000 4.534 0.000
0.000 0.000 3.414
Al Re Te
2 1 1
Cartesian
0.000 2.267 0.000
2.267 0.000 0.000
0.000 0.000 1.707
2.267 2.267 1.707
```

no.,formation energy without anion corrections (eV per atom),VASP energy (eV per atom)
1,0.447,-5.17
2,0.563,-5.06
3,0.895,-4.72
4,0.887,-4.88
5,0.143,-5.48
6,0.217,-5.55
7,0.300,-5.32
8,0.437,-5.33